1.
# Rb2MoW PBE-GGA relaxed
# VASP energy: -0.1665 hartree per atom
# E above lowest polymorph: 0 meV per atom
# ρ: 3.56 g/cm³
# ΔE_f: 1897.8 meV per atom
data_Rb2MoW
_space_group_name_H-M_alt 'P 1'
_space_group_IT_number 1
_space_group_name_Hall 'P 1'
_cell_length_a 13.5355
_cell_length_b 13.5355
_cell_length_c 9.8423
_cell_angle_alpha 46.56
_cell_angle_beta 46.56
_cell_angle_gamma 90.00
loop_
_atom_site_label
_atom_site_fract_x
_atom_site_fract_y
_atom_site_fract_z
_atom_site_occupancy
Mo1 0.5000 0.5000 0.0000 1
Mo2 0.2500 0.7500 0.5000 1
Rb1 0.4389 0.1250 0.2500 1
Rb2 0.3111 0.6250 0.2500 1
Rb3 0.3750 0.5611 0.7500 1
Rb4 0.8750 0.6889 0.7500 1
W1 0.0000 0.0000 0.0000 1
W2 0.7500 0.2500 0.5000 1

***

2.
# RbMoW2 PBE-GGA relaxed
# VASP energy: -0.2718 hartree per atom
# E above lowest polymorph: 0 meV per atom
# ρ: 12.29 g/cm³
# ΔE_f: 2030.6 meV per atom
data_RbMoW2
_space_group_name_H-M_alt 'P 1'
_space_group_IT_number 1
_space_group_name_Hall 'P 1'
_cell_length_a 4.7163
_cell_length_b 4.7163
_cell_length_c 4.7163
_cell_angle_alpha 60.00
_cell_angle_beta 60.00
_cell_angle_gamma 60.00
loop_
_atom_site_label
_atom_site_fract_x
_atom_site_fract_y
_atom_site_fract_z
_atom_site_occupancy
Mo1 0.5000 0.5000 0.5000 1
Rb1 0.0000 0.0000 0.0000 1
W1 0.2500 0.2500 0.2500 1
W2 0.7500 0.7500 0.7500 1

***

3.
# Rb2MoW PBE-GGA relaxed
# VASP energy: -0.1361 hartree per atom
# E above lowest polymorph: 829 meV per atom
# ρ: 4.38 g/cm³
# ΔE_f: 2726.7 meV per atom
data_Rb2MoW
_space_group_name_H-M_alt 'P 1'
_space_group_IT_number 1
_space_group_name_Hall 'P 1'
_cell_length_a 6.2283
_cell_length_b 6.2283
_cell_length_c 6.2283
_cell_angle_alpha 60.00
_cell_angle_beta 60.00
_cell_angle_gamma 60.00
loop_
_atom_site_label
_atom_site_fract_x
_atom_site_fract_y
_atom_site_fract_z
_atom_site_occupancy
Mo1 0.0000 0.0000 0.0000 1
Rb1 0.2500 0.2500 0.2500 1
Rb2 0.7500 0.7500 0.7500 1
W1 0.5000 0.5000 0.5000 1

***

4.
# RbMoW3 PBE-GGA relaxed
# VASP energy: -0.2871 hartree per atom
# E above lowest polymorph: 0 meV per atom
# ρ: 10.23 g/cm³
# ΔE_f: 2319.9 meV per atom
data_RbMoW3
_space_group_name_H-M_alt 'P 1'
_space_group_IT_number 1
_space_group_name_Hall 'P 1'
_cell_length_a 4.9177
_cell_length_b 4.9177
_cell_length_c 4.9177
_cell_angle_alpha 90.00
_cell_angle_beta 90.00
_cell_angle_gamma 90.00
loop_
_atom_site_label
_atom_site_fract_x
_atom_site_fract_y
_atom_site_fract_z
_atom_site_occupancy
Mo1 0.0000 0.0000 0.0000 1
Rb1 0.5000 0.5000 0.5000 1
W1 0.0000 0.5000 0.0000 1
W2 0.0000 0.0000 0.5000 1
W3 0.5000 0.0000 0.0000 1

***

5.
# RbMoW3 PBE-GGA relaxed
# VASP energy: -0.2268 hartree per atom
# E above lowest polymorph: 1641 meV per atom
# ρ: 12.36 g/cm³
# ΔE_f: 3961.3 meV per atom
data_RbMoW3
_space_group_name_H-M_alt 'P 1'
_space_group_IT_number 1
_space_group_name_Hall 'P 1'
_cell_length_a 4.6181
_cell_length_b 4.6181
_cell_length_c 4.6181
_cell_angle_alpha 90.00
_cell_angle_beta 90.00
_cell_angle_gamma 90.00
loop_
_atom_site_label
_atom_site_fract_x
_atom_site_fract_y
_atom_site_fract_z
_atom_site_occupancy
Mo1 0.5000 0.5000 0.5000 1
Rb1 0.0000 0.0000 0.0000 1
W1 0.0000 0.5000 0.0000 1
W2 0.0000 0.0000 0.5000 1
W3 0.5000 0.0000 0.0000 1

***

6.
# Rb3MoW PBE-GGA relaxed
# VASP energy: -0.1105 hartree per atom
# E above lowest polymorph: 0 meV per atom
# ρ: 2.63 g/cm³
# ΔE_f: 2330.7 meV per atom
data_Rb3MoW
_space_group_name_H-M_alt 'P 1'
_space_group_IT_number 1
_space_group_name_Hall 'P 1'
_cell_length_a 6.9692
_cell_length_b 6.9692
_cell_length_c 6.9692
_cell_angle_alpha 90.00
_cell_angle_beta 90.00
_cell_angle_gamma 90.00
loop_
_atom_site_label
_atom_site_fract_x
_atom_site_fract_y
_atom_site_fract_z
_atom_site_occupancy
Mo1 0.5000 0.5000 0.5000 1
Rb1 0.0000 0.5000 0.0000 1
Rb2 0.0000 0.0000 0.5000 1
Rb3 0.5000 0.0000 0.0000 1
W1 0.0000 0.0000 0.0000 1

***

7.
# Rb2YMo PBE-GGA relaxed
# VASP energy: -0.1152 hartree per atom
# E above lowest polymorph: 329 meV per atom
# ρ: 3.64 g/cm³
# ΔE_f: 1672.4 meV per atom
data_Rb2YMo
_space_group_name_H-M_alt 'P 1'
_space_group_IT_number 1
_space_group_name_Hall 'P 1'
_cell_length_a 6.1222
_cell_length_b 6.1222
_cell_length_c 6.1222
_cell_angle_alpha 60.00
_cell_angle_beta 60.00
_cell_angle_gamma 60.00
loop_
_atom_site_label
_atom_site_fract_x
_atom_site_fract_y
_atom_site_fract_z
_atom_site_occupancy
Y1 0.0000 0.0000 0.0000 1
Mo1 0.5000 0.5000 0.5000 1
Rb1 0.2500 0.2500 0.2500 1
Rb2 0.7500 0.7500 0.7500 1

***

8.
# RbY3Mo PBE-GGA relaxed
# VASP energy: -0.1557 hartree per atom
# E above lowest polymorph: 1459 meV per atom
# ρ: 5.10 g/cm³
# ΔE_f: 2000.1 meV per atom
data_RbY3Mo
_space_group_name_H-M_alt 'P 1'
_space_group_IT_number 1
_space_group_name_Hall 'P 1'
_cell_length_a 5.2631
_cell_length_b 5.2631
_cell_length_c 5.2631
_cell_angle_alpha 90.00
_cell_angle_beta 90.00
_cell_angle_gamma 90.00
loop_
_atom_site_label
_atom_site_fract_x
_atom_site_fract_y
_atom_site_fract_z
_atom_site_occupancy
Y1 0.0000 0.5000 0.0000 1
Y2 0.0000 0.0000 0.5000 1
Y3 0.5000 0.0000 0.0000 1
Mo1 0.5000 0.5000 0.5000 1
Rb1 0.0000 0.0000 0.0000 1

***

9.
# Rb3YMo PBE-GGA relaxed
# VASP energy: -0.0799 hartree per atom
# E above lowest polymorph: 0 meV per atom
# ρ: 1.86 g/cm³
# ΔE_f: 1866.2 meV per atom
data_Rb3YMo
_space_group_name_H-M_alt 'P 1'
_space_group_IT_number 1
_space_group_name_Hall 'P 1'
_cell_length_a 7.3348
_cell_length_b 7.3348
_cell_length_c 7.3348
_cell_angle_alpha 90.00
_cell_angle_beta 90.00
_cell_angle_gamma 90.00
loop_
_atom_site_label
_atom_site_fract_x
_atom_site_fract_y
_atom_site_fract_z
_atom_site_occupancy
Y1 0.0000 0.0000 0.0000 1
Mo1 0.5000 0.5000 0.5000 1
Rb1 0.0000 0.5000 0.0000 1
Rb2 0.0000 0.0000 0.5000 1
Rb3 0.5000 0.0000 0.0000 1

***

10.
# RbYMo3 PBE-GGA relaxed
# VASP energy: -0.1992 hartree per atom
# E above lowest polymorph: 0 meV per atom
# ρ: 4.84 g/cm³
# ΔE_f: 2565.0 meV per atom
data_RbYMo3
_space_group_name_H-M_alt 'P 1'
_space_group_IT_number 1
_space_group_name_Hall 'P 1'
_cell_length_a 5.4139
_cell_length_b 5.4139
_cell_length_c 5.4139
_cell_angle_alpha 90.00
_cell_angle_beta 90.00
_cell_angle_gamma 90.00
loop_
_atom_site_label
_atom_site_fract_x
_atom_site_fract_y
_atom_site_fract_z
_atom_site_occupancy
Y1 0.0000 0.0000 0.0000 1
Mo1 0.0000 0.5000 0.0000 1
Mo2 0.0000 0.0000 0.5000 1
Mo3 0.5000 0.0000 0.0000 1
Rb1 0.5000 0.5000 0.5000 1

***

11.
# RbY3Mo PBE-GGA relaxed
# VASP energy: -0.2093 hartree per atom
# E above lowest polymorph: 0 meV per atom
# ρ: 4.18 g/cm³
# ΔE_f: 541.5 meV per atom
data_RbY3Mo
_space_group_name_H-M_alt 'P 1'
_space_group_IT_number 1
_space_group_name_Hall 'P 1'
_cell_length_a 5.6234
_cell_length_b 5.6234
_cell_length_c 5.6234
_cell_angle_alpha 90.00
_cell_angle_beta 90.00
_cell_angle_gamma 90.00
loop_
_atom_site_label
_atom_site_fract_x
_atom_site_fract_y
_atom_site_fract_z
_atom_site_occupancy
Y1 0.0000 0.5000 0.0000 1
Y2 0.0000 0.0000 0.5000 1
Y3 0.5000 0.0000 0.0000 1
Mo1 0.0000 0.0000 0.0000 1
Rb1 0.5000 0.5000 0.5000 1

***

12.
# Rb2YMo PBE-GGA relaxed
# VASP energy: -0.1273 hartree per atom
# E above lowest polymorph: 0 meV per atom
# ρ: 2.58 g/cm³
# ΔE_f: 1343.8 meV per atom
data_Rb2YMo
_space_group_name_H-M_alt 'P 1'
_space_group_IT_number 1
_space_group_name_Hall 'P 1'
_cell_length_a 13.2818
_cell_length_b 13.2818
_cell_length_c 9.7450
_cell_angle_alpha 47.04
_cell_angle_beta 47.04
_cell_angle_gamma 90.00
loop_
_atom_site_label
_atom_site_fract_x
_atom_site_fract_y
_atom_site_fract_z
_atom_site_occupancy
Y1 0.5000 0.5000 0.0000 1
Y2 0.2500 0.7500 0.5000 1
Mo1 0.0000 0.0000 0.0000 1
Mo2 0.7500 0.2500 0.5000 1
Rb1 0.7678 0.1250 0.2500 1
Rb2 0.9822 0.6250 0.2500 1
Rb3 0.3750 0.2322 0.7500 1
Rb4 0.8750 0.0178 0.7500 1

***

13.
# RbYMo3 PBE-GGA relaxed
# VASP energy: -0.1937 hartree per atom
# E above lowest polymorph: 150 meV per atom
# ρ: 6.93 g/cm³
# ΔE_f: 2714.9 meV per atom
data_RbYMo3
_space_group_name_H-M_alt 'P 1'
_space_group_IT_number 1
_space_group_name_Hall 'P 1'
_cell_length_a 4.8031
_cell_length_b 4.8031
_cell_length_c 4.8031
_cell_angle_alpha 90.00
_cell_angle_beta 90.00
_cell_angle_gamma 90.00
loop_
_atom_site_label
_atom_site_fract_x
_atom_site_fract_y
_atom_site_fract_z
_atom_site_occupancy
Y1 0.5000 0.5000 0.5000 1
Mo1 0.0000 0.5000 0.0000 1
Mo2 0.0000 0.0000 0.5000 1
Mo3 0.5000 0.0000 0.0000 1
Rb1 0.0000 0.0000 0.0000 1

***

14.
# Rb3YMo PBE-GGA relaxed
# VASP energy: -0.0774 hartree per atom
# E above lowest polymorph: 66 meV per atom
# ρ: 2.98 g/cm³
# ΔE_f: 1932.6 meV per atom
data_Rb3YMo
_space_group_name_H-M_alt 'P 1'
_space_group_IT_number 1
_space_group_name_Hall 'P 1'
_cell_length_a 6.2655
_cell_length_b 6.2655
_cell_length_c 6.2655
_cell_angle_alpha 90.00
_cell_angle_beta 90.00
_cell_angle_gamma 90.00
loop_
_atom_site_label
_atom_site_fract_x
_atom_site_fract_y
_atom_site_fract_z
_atom_site_occupancy
Y1 0.5000 0.5000 0.5000 1
Mo1 0.0000 0.0000 0.0000 1
Rb1 0.0000 0.5000 0.0000 1
Rb2 0.0000 0.0000 0.5000 1
Rb3 0.5000 0.0000 0.0000 1